CdHgS2 (PBE, relaxed); relative energy among the computed polymorphs = 0.347 eV/atom; formation energy without anion corrections = -0.036 eV/atom; crystal system = orthorhombic
1.0
1.9063 -12.3269 0.0000
1.9063 12.3269 0.0000
0.0000 0.0000 4.1420
Cd Hg S
2 2 4
direct
0.1953 0.8047 0.7500
0.8047 0.1953 0.2500
0.4569 0.5431 0.7500
0.5431 0.4569 0.2500
0.3024 0.6976 0.7500
0.4045 0.5955 0.2500
0.5955 0.4045 0.7500
0.6976 0.3024 0.2500

=====

ZnCuP2 (PBE, relaxed); crystal system = tetragonal
1.0
3.0370 0.0000 0.0000
0.0000 3.0370 0.0000
0.0000 0.0000 7.0265
Zn Cu P
1 1 2
direct
0.0000 0.0000 0.0000
0.5000 0.5000 0.2025
0.0000 0.0000 0.6517
0.5000 0.5000 0.5290

=====

WSe2I (PBE, relaxed); relative energy among the computed polymorphs = 0.195 eV/atom; formation energy without anion corrections = -0.085 eV/atom; crystal system = monoclinic
1.0
5.8333 -3.5530 0.0000
5.8333 3.5530 0.0000
-0.0474 0.0000 3.2752
W Se I
1 2 1
direct
0.0000 0.0000 0.0000
0.2543 0.0356 0.5076
0.9644 0.7457 0.4924
0.6293 0.3707 0.0000

=====

Cs4C2O5 (PBE, relaxed); formation energy without anion corrections = -1.460 eV/atom; crystal system = monoclinic
1.0
5.3990 -3.1249 0.0000
5.3990 3.1249 0.0000
-0.5341 0.0000 7.9128
Cs C O
4 2 5
direct
0.0000 0.0000 0.0000
0.0007 0.0007 0.4974
0.3301 0.3301 0.2265
0.6665 0.6665 0.7269
0.3348 0.3348 0.7564
0.6824 0.6824 0.2534
0.2117 0.5740 0.7384
0.2184 0.2184 0.7935
0.4418 0.7991 0.2685
0.5740 0.2117 0.7384
0.7991 0.4418 0.2685

=====

Na2DyPuO6 (PBE, relaxed); formation energy without anion corrections = -2.517 eV/atom; crystal system = trigonal
1.0
2.9052 1.6773 4.8648
-2.9052 1.6773 4.8648
0.0000 -3.3546 4.8648
Na Dy Pu O
2 1 1 6
direct
0.0000 0.0000 0.0000
0.4978 0.4978 0.4978
0.7352 0.7352 0.7352
0.2333 0.2333 0.2333
0.0913 0.9059 0.4586
0.3772 0.5595 0.9949
0.4586 0.0913 0.9059
0.5595 0.9949 0.3772
0.9059 0.4586 0.0913
0.9949 0.3772 0.5595

=====

TlCdFe2 (PBE, relaxed); crystal system = tetragonal
1.0
3.1634 0.0000 0.0000
0.0000 3.1634 0.0000
0.0000 0.0000 7.1608
Tl Cd Fe
1 1 2
direct
0.0000 0.0000 0.0000
0.5000 0.5000 0.3373
0.0000 0.0000 0.5863
0.5000 0.5000 0.7304

=====

Raw total energy list, top to bottom, in eV/atom: -2.404, -3.936, -5.453, -5.701, -7.649, -4.725